(1)
Material: Dy7Ho3
Method: DFT, GGA-PBE
State: optimized geometry

Properties
SG   P6_3mc (186)
Total magnetic moment   0.00 μB/f.u.
E above lowest polymorph   184 meV/atom
Formation energy from the elements   0.20 eV per atom

The structure in extended XYZ format:
```
20
Lattice="-5.329 -0.181 -3.370 5.361 -4.395 -8.242 -4.509 -6.313 7.469" Properties=species:S:1:pos:R:3 pbc="T T T"
Dy -3.948 -1.954 -4.034
Dy -2.920 -8.052 2.394
Dy 2.070 -5.034 -3.005
Dy -0.498 -4.782 -9.338
Dy -1.062 -5.451 -0.684
Dy -5.358 -6.154 4.324
Dy -0.939 -7.240 -6.686
Dy -1.908 -8.982 -0.980
Dy -3.148 -5.429 -3.290
Dy -2.456 -2.091 -0.483
Dy -3.271 -3.640 2.713
Dy -3.400 -8.844 -4.531
Dy -3.884 -5.764 0.547
Dy -1.290 -2.827 -6.368
Ho -0.636 -3.249 -3.130
Ho -7.038 -6.065 1.243
Ho -5.381 -3.744 -1.503
Ho 1.335 -4.865 -6.160
Ho -5.067 -7.681 -1.787
Ho -0.322 -7.186 -3.414
```

(2)
Material: DyHo7
Method: DFT, GGA-PBE
State: optimized geometry

Properties
SG   Immm (71)
Total magnetic moment   0.00 μB/f.u.
E above lowest polymorph   16 meV/atom
Formation energy from the elements   0.04 eV per atom

The structure in extended XYZ format:
```
8
Lattice="3.332 0.002 1.062 1.197 8.334 1.992 -0.905 -0.220 8.601" Properties=species:S:1:pos:R:3 pbc="T T T"
Ho 1.894 7.109 5.567
Ho 2.689 6.162 8.829
Ho 0.146 4.057 5.297
Ho 0.923 3.160 8.618
Ho 0.935 1.954 2.826
Ho 2.702 4.955 3.037
Ho 1.731 1.007 6.088
Dy 0.000 0.000 0.000
```

(3)
Material: Dy13Ho3
Method: DFT, GGA-PBE
State: optimized geometry

Properties
SG   Amm2 (38)
Total magnetic moment   0.00 μB/f.u.
E above lowest polymorph   0 meV/atom
Formation energy from the elements   0.01 eV per atom

The structure in extended XYZ format:
```
16
Lattice="7.230 0.000 0.000 0.000 8.343 -0.914 0.000 0.006 8.393" Properties=species:S:1:pos:R:3 pbc="T T T"
Dy 0.000 5.917 5.997
Dy 5.423 3.822 -0.073
Dy 3.615 2.434 5.682
Dy 5.423 4.520 3.354
Dy 3.615 6.607 1.024
Dy 5.423 8.002 3.672
Dy 3.615 1.739 2.254
Dy 1.806 3.822 -0.073
Dy 3.615 5.918 5.998
Dy 1.807 4.520 3.354
Dy 1.806 8.002 3.672
Dy 0.000 1.739 2.255
Dy 0.000 6.607 1.024
Ho 5.423 0.353 8.005
Ho 0.000 2.434 5.683
Ho 1.807 0.353 8.005
```